(1)
A relaxed Mn2NiPb crystal, computed with GGA-PBE.

POSCAR file:
```
Mn2NiPb
1.0
3.1140 -0.0006 0.0000
0.0005 3.1140 0.0000
0.0000 0.0000 7.1048
Mn Pb Ni
2 1 1
Cartesian
0.0000 0.0000 0.4191 Mn
0.0000 0.0000 3.1333 Mn
1.5573 1.5567 5.3286 Pb
1.5573 1.5567 1.7762 Ni
```

Results
- SG: P4/mmm, No. 123

(2)
A relaxed Mn2NiPb crystal, computed with GGA-PBE.

POSCAR file:
```
Mn2NiPb
1.0
4.8727 0.0038 0.0000
1.7009 4.5663 0.0000
-3.2868 -2.2850 2.7784
Pb Mn Ni
1 2 1
Cartesian
2.4364 0.0019 1.3892 Pb
3.2868 2.2850 0.0000 Mn
0.0000 0.0000 0.0000 Mn
0.8504 2.2831 1.3892 Ni
```

Results
- SG: I4/mmm, No. 139

(3)
A relaxed Mn2NiPb crystal, computed with GGA-PBE.

POSCAR file:
```
Mn2NiPb
1.0
8.6938 0.3252 0.1937
8.0371 3.3308 0.1937
8.0371 1.7562 2.8368
Mn Ni Pb
2 1 1
Cartesian
6.0237 1.3163 0.7842 Mn
24.5713 5.3693 3.1986 Mn
12.5899 2.7511 1.6389 Ni
18.7350 4.0939 2.4389 Pb
```

Results
- SG: R3m, No. 160

(4)
A relaxed MnNi2Pb crystal, computed with GGA-PBE.

POSCAR file:
```
MnNi2Pb
1.0
-0.2250 -4.1330 -0.0497
1.0710 -0.1064 3.9998
-3.3591 0.1720 0.9040
Ni Mn Pb
2 1 1
Cartesian
0.4230 -2.1197 1.9751 Ni
0.0000 0.0000 0.0000 Ni
-1.1441 0.0328 2.4519 Mn
-1.7921 -1.9805 0.4272 Pb
```

Results
- SG: P4/mmm, No. 123

(5)
A relaxed MnNi2Pb crystal, computed with GGA-PBE.

POSCAR file:
```
MnNi2Pb
1.0
-2.8723 -5.9669 4.6509
-0.6941 -4.7810 6.4919
-3.5034 -3.5004 6.3998
Mn Ni Pb
1 2 1
Cartesian
-5.3024 -10.6862 13.1570 Mn
-0.0592 -0.1192 0.1468 Ni
-3.4758 -7.0049 8.6245 Ni
-1.7675 -3.5621 4.3857 Pb
```

Results
- SG: R-3m, No. 166

(6)
A relaxed MnNiPb2 crystal, computed with GGA-PBE.

POSCAR file:
```
MnNiPb2
1.0
-2.2254 1.1146 -7.1181
2.4664 -6.8819 -1.8487
-2.6992 -4.0807 -3.7893
Ni Pb Mn
2 4 2
Cartesian
-2.4020 -2.9249 -7.6954 Ni
0.0000 0.0000 0.0000 Ni
-1.7375 -8.3189 -10.7448 Pb
0.6571 -5.2164 -2.7733 Pb
-2.0100 -5.0113 -6.1475 Pb
-1.8259 -1.1495 -5.8464 Pb
0.1205 -2.8837 -4.4834 Mn
-0.0561 -6.9231 -5.0607 Mn
```

Results
- Energy above the lowest structure with this stoichiometry: 331 meV per atom
- SG: I-42d, No. 122

(7)
A relaxed MnNiPb2 crystal, computed with GGA-PBE.

POSCAR file:
```
MnNiPb2
1.0
-2.1905 -3.4203 -0.9193
2.3611 -0.7530 -2.8246
4.1655 -3.1573 1.8215
Pb Mn Ni
2 1 1
Cartesian
0.9354 -2.9711 -0.6068 Pb
6.1421 -3.6397 -1.0938 Pb
3.6590 -2.0534 -1.0786 Mn
3.3896 -4.5319 -0.6478 Ni
```

Results
- Energy above the lowest structure with this stoichiometry: 78 meV per atom
- SG: Pm, No. 6

(8)
A relaxed MnNi2Pb crystal, computed with GGA-PBE.

POSCAR file:
```
MnNi2Pb
1.0
4.8534 0.2919 0.0000
1.5592 4.6053 0.0000
-3.2063 -2.4486 2.7137
Ni Mn Pb
2 1 1
Cartesian
0.0000 0.0000 0.0000 Ni
0.7796 2.3027 1.3569 Ni
2.4267 0.1459 1.3569 Mn
3.2063 2.4486 0.0000 Pb
```

Results
- SG: I-4m2, No. 119

no.,raw total energy (eV/atom),E_form (eV/f.u.)
1,-6.655,1.21
2,-6.642,1.26
3,-6.387,2.28
4,-5.914,0.78
5,-5.681,1.72
6,-5.075,2.07
7,-5.328,1.06
8,-5.907,0.81